Below is a relaxed structure of NaYSb2Mo, with properties calculated at the PBE level.

Cell: 5.353 5.353 5.246 Å, 90.00 90.00 90.00°
Space group P4/mmm (No. 123)
Inequivalent atoms, fractional coordinates:
Na  0.000  0.000  0.000 x1
Y  0.500  0.500  0.000 x1
Sb  0.000  0.500  0.500 x2
Mo  0.500  0.500  0.500 x1

Results
Density (g/cm³): 5.0
Crystal system: tetragonal
Formation energy from raw total energies (eV per atom): 0.17